Ce3In2Ag | PBE | relaxed

The structure in extended XYZ format:
```
6
Lattice="3.296 0.000 0.000 0.000 3.296 0.000 0.000 0.000 14.180" Properties=species:S:1:pos:R:3 pbc="T T T"
Ce 0.000 0.000 0.000
Ce 0.000 0.000 4.856
Ce 0.000 0.000 9.324
In 1.648 1.648 2.436
In 1.648 1.648 11.744
Ag 1.648 1.648 7.090
```

## Properties
Symmetry: P4/mmm
Spin magnetization, Bohr magnetons per cell: 1.8
Energy of formation from the pure elements, eV per atom: -0.2642